Co3Pt (SCAN, PBEsol geometry); space-group type = No. 65; magnetic moment = 1.533 μB/atom; ΔE_f = -0.048 eV per atom
1.0
2.5877 0.0000 0.0000
0.0000 4.3798 -0.0124
0.0000 -1.4032 4.1489
Co Pt
3 1
Direct
0.5000 0.5000 0.0000 Co
0.0000 0.0000 0.0000 Co
0.5000 0.0000 0.5000 Co
0.0000 0.5000 0.5000 Pt



CoPt2 (SCAN, PBEsol geometry); space-group type = No. 12; magnetic moment = 0.962 μB/atom; ΔE_f = -0.088 eV per atom
1.0
2.6962 0.0000 0.0000
-1.3481 5.0335 0.0034
0.0000 -1.6741 6.0496
Co Pt
2 4
Direct
0.0255 0.0510 0.8051 Co
0.9745 0.9490 0.1949 Co
0.6352 0.2704 0.5346 Pt
0.3199 0.6399 0.8739 Pt
0.6801 0.3601 0.1261 Pt
0.3648 0.7296 0.4654 Pt



CoPt3 (SCAN, PBEsol geometry); space-group type = No. 221; magnetic moment = 0.740 μB/atom; ΔE_f = 1.497 eV per atom
1.0
4.4917 0.0000 0.0000
0.0000 4.4917 0.0000
0.0000 0.0000 4.4917
Pt Co
3 1
Direct
0.0000 0.5000 0.0000 Pt
0.5000 0.0000 0.0000 Pt
0.0000 0.0000 0.5000 Pt
0.0000 0.0000 0.0000 Co



Co3Pt (SCAN, PBEsol geometry); space-group type = No. 25; magnetic moment = 1.488 μB/atom; ΔE_f = -0.067 eV per atom
1.0
-2.1904 1.1884 0.7145
-1.9838 -1.8000 -3.0876
-0.9941 -3.4122 2.6279
Co Pt
3 1
Direct
0.0000 0.0000 0.9856 Co
0.5000 0.5000 0.8331 Co
0.5000 0.0000 0.5148 Co
0.0000 0.5000 0.3332 Pt



Co3Pt (SCAN, PBEsol geometry); space-group type = No. 12; magnetic moment = 1.495 μB/atom; ΔE_f = -0.048 eV per atom
1.0
-0.2228 1.6706 -1.9698
2.6114 -3.2588 -1.3531
-3.9436 -1.6670 -0.9678
Pt Co
1 3
Direct
0.5000 0.0000 0.0000 Pt
0.0000 0.0000 0.5000 Co
0.7454 0.4908 0.7299 Co
0.2546 0.5092 0.2701 Co



CoPt (SCAN, PBEsol geometry); space-group type = No. 166; magnetic moment = 1.116 μB/atom; ΔE_f = -0.079 eV per atom
1.0
2.6611 0.0000 0.0000
1.3305 2.3046 0.0000
1.3305 0.7682 4.2423
Co Pt
1 1
Direct
0.0000 0.0000 0.0000 Co
0.5000 0.5000 0.5000 Pt



- The lowest magnetic moment belongs to which entry?
  CoPt3